# 1
VASP calculation (PBE) on an optimized crystal structure of LaPr2AlCl3.

a b c (Å): 5.926 5.926 5.952
angles (deg): 90.00 90.00 90.00
Fractional positions:
La: 0.000 0.000 0.000
Pr: 0.000 0.500 0.500
Pr: 0.500 0.000 0.500
Al: 0.000 0.000 0.500
Cl: 0.000 0.500 0.000
Cl: 0.500 0.000 0.000
Cl: 0.500 0.500 0.500

Output
E   -4.86 eV/atom
Total moment   0.0 Bohr magnetons per cell

# 2
VASP calculation (PBE) on an optimized crystal structure of PrNdAl2Cl2.

a b c (Å): 4.280 4.280 11.594
angles (deg): 90.00 90.00 120.00
Fractional positions:
Pr: 0.000 0.000 0.000
Nd: 0.000 0.000 0.377
Al: 0.333 0.667 0.207
Al: 0.667 0.333 0.172
Cl: 0.333 0.667 0.862
Cl: 0.667 0.333 0.512

Output
E   -4.71 eV/atom
Total moment   0.0 Bohr magnetons per cell

# 3
VASP calculation (PBE) on an optimized crystal structure of Pr2NdAlCl3.

a b c (Å): 5.893 5.893 5.887
angles (deg): 90.00 90.00 90.00
Fractional positions:
Pr: 0.000 0.500 0.000
Pr: 0.500 0.000 0.000
Nd: 0.000 0.000 0.500
Al: 0.000 0.000 0.000
Cl: 0.000 0.500 0.500
Cl: 0.500 0.000 0.500
Cl: 0.500 0.500 0.000

Output
E   -4.81 eV/atom
Total moment   0.0 Bohr magnetons per cell